DFT (PBE) results for a geometry-optimized KZrAu2 structure.

Cell lengths 11.430, 3.002, 5.405 Å; angles 90.00, 102.28, 90.00 degrees
Fractional positions:
K 0.000 0.000 0.000
K 0.500 0.500 0.000
Zr 0.206 0.000 0.607
Zr 0.706 0.500 0.607
Au 0.255 0.500 0.139
Au 0.471 0.000 0.489
Au 0.755 0.000 0.139
Au 0.971 0.500 0.489

Relative energy among the computed polymorphs (meV/atom): 269.4
SG: Cm

---

DFT (PBE) results for a geometry-optimized KZrAu2 structure.

Cell lengths 6.944, 6.944, 6.944 Å; angles 90.00, 90.00, 90.00 degrees
Fractional positions:
K 0.000 0.000 0.000
K 0.000 0.500 0.500
K 0.500 0.000 0.500
K 0.500 0.500 0.000
Zr 0.250 0.250 0.750
Zr 0.250 0.750 0.250
Zr 0.750 0.250 0.250
Zr 0.750 0.750 0.750
Au 0.000 0.000 0.500
Au 0.000 0.500 0.000
Au 0.250 0.250 0.250
Au 0.250 0.750 0.750
Au 0.500 0.000 0.000
Au 0.500 0.500 0.500
Au 0.750 0.250 0.750
Au 0.750 0.750 0.250

Relative energy among the computed polymorphs (meV/atom): 559.2
SG: F-43m

---

DFT (PBE) results for a geometry-optimized KZrAu2 structure.

Cell lengths 2.988, 5.322, 11.670 Å; angles 90.00, 90.00, 90.00 degrees
Fractional positions:
K 0.000 0.000 0.000
K 0.500 0.500 0.500
Zr 0.000 0.500 0.797
Zr 0.500 0.000 0.297
Au 0.000 0.000 0.513
Au 0.000 0.500 0.233
Au 0.500 0.000 0.733
Au 0.500 0.500 0.013

Relative energy among the computed polymorphs (meV/atom): 295.9
SG: Imm2

---

DFT (PBE) results for a geometry-optimized K2ZrAu structure.

Cell lengths 3.240, 3.240, 11.639 Å; angles 90.00, 90.00, 90.00 degrees
Fractional positions:
K 0.000 0.000 0.207
K 0.000 0.000 0.793
Zr 0.500 0.500 0.500
Au 0.500 0.500 0.000

Relative energy among the computed polymorphs (meV/atom): 369.4
SG: P4/mmm

---

DFT (PBE) results for a geometry-optimized KZrAu2 structure.

Cell lengths 3.577, 3.577, 8.343 Å; angles 90.00, 90.00, 90.00 degrees
Fractional positions:
K 0.000 0.000 0.000
Zr 0.500 0.500 0.384
Au 0.000 0.000 0.545
Au 0.500 0.500 0.725

Relative energy among the computed polymorphs (meV/atom): 359.9
SG: P4mm

---

DFT (PBE) results for a geometry-optimized KZrAu4 structure.

Cell lengths 5.649, 5.649, 5.649 Å; angles 60.00, 60.00, 60.00 degrees
Fractional positions:
K 0.000 0.000 0.000
Zr 0.750 0.750 0.750
Au 0.375 0.375 0.375
Au 0.375 0.375 0.875
Au 0.375 0.875 0.375
Au 0.875 0.375 0.375

SG: F-43m

---

DFT (PBE) results for a geometry-optimized K2ZrAu structure.

Cell lengths 3.398, 3.398, 36.182 Å; angles 90.00, 90.00, 120.00 degrees
Fractional positions:
K 0.000 0.000 0.239
K 0.000 0.000 0.761
K 0.333 0.667 0.428
K 0.333 0.667 0.906
K 0.667 0.333 0.094
K 0.667 0.333 0.572
Zr 0.000 0.000 0.000
Zr 0.333 0.667 0.667
Zr 0.667 0.333 0.333
Au 0.000 0.000 0.500
Au 0.333 0.667 0.167
Au 0.667 0.333 0.833

Relative energy among the computed polymorphs (meV/atom): 405.0
SG: R-3m

---

DFT (PBE) results for a geometry-optimized K2ZrAu structure.

Cell lengths 4.299, 4.844, 11.680 Å; angles 90.00, 90.00, 90.00 degrees
Fractional positions:
K 0.000 0.000 0.209
K 0.000 0.000 0.791
K 0.500 0.500 0.209
K 0.500 0.500 0.791
Zr 0.000 0.500 0.500
Zr 0.500 0.000 0.500
Au 0.000 0.500 0.000
Au 0.500 0.000 0.000

Relative energy among the computed polymorphs (meV/atom): 369.4
SG: Cmmm

---

DFT (PBE) results for a geometry-optimized K3ZrAu structure.

Cell lengths 6.278, 6.278, 6.278 Å; angles 90.00, 90.00, 90.00 degrees
Fractional positions:
K 0.000 0.000 0.500
K 0.000 0.500 0.000
K 0.500 0.000 0.000
Zr 0.500 0.500 0.500
Au 0.000 0.000 0.000

Relative energy among the computed polymorphs (meV/atom): 0.0
SG: Pm-3m

---

DFT (PBE) results for a geometry-optimized K3ZrAu structure.

Cell lengths 6.645, 6.645, 6.645 Å; angles 90.00, 90.00, 90.00 degrees
Fractional positions:
K 0.000 0.000 0.500
K 0.000 0.500 0.000
K 0.500 0.000 0.000
Zr 0.000 0.000 0.000
Au 0.500 0.500 0.500

Relative energy among the computed polymorphs (meV/atom): 358.1
SG: Pm-3m

---

DFT (PBE) results for a geometry-optimized K2ZrAu structure.

Cell lengths 3.380, 6.318, 5.303 Å; angles 90.00, 92.79, 90.00 degrees
Fractional positions:
K 0.237 0.000 0.263
K 0.763 0.000 0.737
Zr 0.500 0.500 0.000
Au 0.000 0.500 0.500

Relative energy among the computed polymorphs (meV/atom): 436.3
SG: P2/m

---

DFT (PBE) results for a geometry-optimized K2ZrAu structure.

Cell lengths 20.698, 3.364, 4.573 Å; angles 90.00, 102.71, 90.00 degrees
Fractional positions:
K 0.152 0.000 0.151
K 0.348 0.500 0.849
K 0.652 0.500 0.151
K 0.848 0.000 0.849
Zr 0.000 0.000 0.500
Zr 0.500 0.500 0.500
Au 0.000 0.500 0.000
Au 0.500 0.000 0.000

Relative energy among the computed polymorphs (meV/atom): 73.6
SG: C2/m

---

DFT (PBE) results for a geometry-optimized K2ZrAu structure.

Cell lengths 4.292, 4.292, 12.343 Å; angles 90.00, 90.00, 90.00 degrees
Fractional positions:
K 0.000 0.500 0.250
K 0.000 0.500 0.750
K 0.500 0.000 0.250
K 0.500 0.000 0.750
Zr 0.000 0.000 0.000
Zr 0.500 0.500 0.500
Au 0.000 0.000 0.500
Au 0.500 0.500 0.000

Relative energy among the computed polymorphs (meV/atom): 409.2
SG: I4/mmm

---

DFT (PBE) results for a geometry-optimized KZrAu2 structure.

Cell lengths 3.515, 3.515, 8.120 Å; angles 90.00, 90.00, 90.00 degrees
Fractional positions:
K 0.000 0.000 0.000
Zr 0.000 0.000 0.500
Au 0.500 0.500 0.315
Au 0.500 0.500 0.685

Relative energy among the computed polymorphs (meV/atom): 0.0
SG: P4/mmm

---

DFT (PBE) results for a geometry-optimized K2ZrAu structure.

Cell lengths 3.692, 3.693, 10.999 Å; angles 90.00, 90.85, 90.00 degrees
Fractional positions:
K 0.000 0.000 0.000
K 0.469 0.500 0.389
Zr 0.983 0.000 0.672
Au 0.487 0.500 0.764

Relative energy among the computed polymorphs (meV/atom): 0.0
SG: Pm

---

DFT (PBE) results for a geometry-optimized KZrAu2 structure.

Cell lengths 3.912, 3.912, 25.240 Å; angles 90.00, 90.00, 120.00 degrees
Fractional positions:
K 0.000 0.000 0.000
K 0.333 0.667 0.667
K 0.667 0.333 0.333
Zr 0.000 0.000 0.500
Zr 0.333 0.667 0.167
Zr 0.667 0.333 0.833
Au 0.000 0.000 0.231
Au 0.000 0.000 0.769
Au 0.333 0.667 0.436
Au 0.333 0.667 0.897
Au 0.667 0.333 0.103
Au 0.667 0.333 0.564

Relative energy among the computed polymorphs (meV/atom): 157.4
SG: R-3m

---

DFT (PBE) results for a geometry-optimized K2ZrAu structure.

Cell lengths 9.343, 3.757, 9.810 Å; angles 90.00, 104.60, 90.00 degrees
Fractional positions:
K 0.000 0.000 0.000
K 0.156 0.000 0.589
K 0.500 0.500 0.000
K 0.656 0.500 0.589
Zr 0.298 0.500 0.295
Zr 0.798 0.000 0.295
Au 0.007 0.500 0.295
Au 0.507 0.000 0.295

Relative energy among the computed polymorphs (meV/atom): 106.8
SG: Cm

---

DFT (PBE) results for a geometry-optimized K2ZrAu structure.

Cell lengths 3.452, 6.356, 13.171 Å; angles 90.00, 90.00, 90.00 degrees
Fractional positions:
K 0.000 0.000 0.000
K 0.000 0.500 0.197
K 0.500 0.000 0.697
K 0.500 0.500 0.500
Zr 0.000 0.000 0.387
Zr 0.500 0.500 0.887
Au 0.000 0.500 0.726
Au 0.500 0.000 0.226

Relative energy among the computed polymorphs (meV/atom): 315.3
SG: Imm2

---

DFT (PBE) results for a geometry-optimized K2ZrAu structure.

Cell lengths 6.745, 6.745, 2.926 Å; angles 90.00, 90.00, 90.00 degrees
Fractional positions:
K 0.000 0.500 0.000
K 0.500 0.000 0.000
Zr 0.000 0.000 0.500
Au 0.500 0.500 0.500

Relative energy among the computed polymorphs (meV/atom): 699.0
SG: P4/mmm

---

DFT (PBE) results for a geometry-optimized KZrAu2 structure.

Cell lengths 2.968, 5.497, 5.497 Å; angles 90.00, 90.00, 90.00 degrees
Fractional positions:
K 0.000 0.000 0.000
Zr 0.000 0.500 0.502
Au 0.500 0.000 0.500
Au 0.500 0.500 0.002

Relative energy among the computed polymorphs (meV/atom): 162.6
SG: Pmm2

---

| no. | formation enthalpy at 0 K (eV/atom) |
| --- | --- |
| 1 | -0.054 |
| 2 | 0.236 |
| 3 | -0.027 |
| 4 | 0.466 |
| 5 | 0.037 |
| 6 | 0.020 |
| 7 | 0.502 |
| 8 | 0.466 |
| 9 | 0.760 |
| 10 | 1.118 |
| 11 | 0.533 |
| 12 | 0.170 |
| 13 | 0.506 |
| 14 | -0.323 |
| 15 | 0.097 |
| 16 | -0.166 |
| 17 | 0.203 |
| 18 | 0.412 |
| 19 | 0.796 |
| 20 | -0.160 |